(1)
# Nb2CoBS

A geometry-optimized Nb2CoBS structure (PBE-GGA, Alexandria via LeMat-Bulk).

Its space group is P4/mmm, No. 123. As for the calculated density: 5.929 g/cm3. The calculation puts the uncorrected formation energy at 3.45 eV per formula unit.

Cell: 4.541 4.541 3.906 Å, 90.00 90.00 90.00°
Fractional positions:
Nb  0.000  0.500  0.000
Nb  0.500  0.000  0.000
Co  0.000  0.000  0.500
B  0.500  0.500  0.500
S  0.000  0.000  0.000

(2)
# NbCoTc2B

A geometry-optimized NbCoTc2B structure (PBE-GGA, Alexandria via LeMat-Bulk).

Its space group is P4/mmm, No. 123. As for the calculated density: 9.087 g/cm3. For the formation energy, the calculation gives -186 meV per atom.

Cell: 4.149 4.149 3.808 Å, 90.00 90.00 90.00°
Fractional positions:
Nb  0.000  0.000  0.000
Co  0.500  0.500  0.000
Tc  0.000  0.500  0.500
Tc  0.500  0.000  0.500
B  0.500  0.500  0.500

(3)
# Nb2ZnCo5B2

A geometry-optimized Nb2ZnCo5B2 structure (PBE-GGA, Alexandria via LeMat-Bulk).

Its space group is P4/mbm, No. 127. As for the calculated density: 8.516 g/cm3. For the formation energy, the calculation gives -368 meV per atom.

Cell: 8.650 8.650 2.958 Å, 90.00 90.00 90.00°
Fractional positions:
Nb  0.177  0.323  0.000
Nb  0.323  0.823  0.000
Nb  0.677  0.177  0.000
Nb  0.823  0.677  0.000
Zn  0.000  0.000  0.000
Zn  0.500  0.500  0.000
Co  0.000  0.500  0.500
Co  0.068  0.777  0.500
Co  0.223  0.068  0.500
Co  0.277  0.568  0.500
Co  0.432  0.277  0.500
Co  0.500  0.000  0.500
Co  0.568  0.723  0.500
Co  0.723  0.432  0.500
Co  0.777  0.932  0.500
Co  0.932  0.223  0.500
B  0.120  0.620  0.000
B  0.380  0.120  0.000
B  0.620  0.880  0.000
B  0.880  0.380  0.000

(4)
# NdCo12B6

A geometry-optimized NdCo12B6 structure (PBE-GGA, Alexandria via LeMat-Bulk).

Its space group is R-3m, No. 166. As for the calculated density: 7.986 g/cm3. For the formation energy, the calculation gives -343 meV per atom.

Cell: 5.977 5.977 5.977 Å, 103.99 103.99 103.99°
Fractional positions:
Nd  0.000  0.000  0.000
Co  0.133  0.500  0.867
Co  0.133  0.867  0.500
Co  0.187  0.459  0.459
Co  0.459  0.187  0.459
Co  0.459  0.459  0.187
Co  0.500  0.133  0.867
Co  0.500  0.867  0.133
Co  0.541  0.541  0.813
Co  0.541  0.813  0.541
Co  0.813  0.541  0.541
Co  0.867  0.133  0.500
Co  0.867  0.500  0.133
B  0.231  0.231  0.673
B  0.231  0.673  0.231
B  0.327  0.769  0.769
B  0.673  0.231  0.231
B  0.769  0.327  0.769
B  0.769  0.769  0.327

(5)
# Nd2Co7B3

A geometry-optimized Nd2Co7B3 structure (PBE-GGA, Alexandria via LeMat-Bulk).

Its space group is P6/mmm, No. 191. As for the calculated density: 8.410 g/cm3. For the formation energy, the calculation gives -303 meV per atom.

Cell: 5.129 5.129 12.714 Å, 90.00 90.00 120.00°
Fractional positions:
Nd  0.000  0.000  0.000
Nd  0.000  0.000  0.240
Nd  0.000  0.000  0.500
Nd  0.000  0.000  0.760
Co  0.000  0.500  0.115
Co  0.000  0.500  0.344
Co  0.000  0.500  0.656
Co  0.000  0.500  0.885
Co  0.333  0.667  0.500
Co  0.500  0.000  0.115
Co  0.500  0.000  0.344
Co  0.500  0.000  0.656
Co  0.500  0.000  0.885
Co  0.500  0.500  0.115
Co  0.500  0.500  0.344
Co  0.500  0.500  0.656
Co  0.500  0.500  0.885
Co  0.667  0.333  0.500
B  0.333  0.667  0.000
B  0.333  0.667  0.231
B  0.333  0.667  0.769
B  0.667  0.333  0.000
B  0.667  0.333  0.231
B  0.667  0.333  0.769

(6)
# NdCoB

A geometry-optimized NdCoB structure (PBE-GGA, Alexandria via LeMat-Bulk).

The energy relative to the lowest polymorph listed for this composition is 0 meV per atom. Its space group is P4/nmm, No. 129. As for the calculated density: 6.877 g/cm3. For the formation energy, the calculation gives -404 meV per atom.

Cell: 3.576 3.576 8.081 Å, 90.00 90.00 90.00°
Fractional positions:
Nd  0.250  0.250  0.206
Nd  0.750  0.750  0.794
Co  0.250  0.750  0.500
Co  0.750  0.250  0.500
B  0.250  0.250  0.616
B  0.750  0.750  0.384

(7)
# Nd3Co11B4

A geometry-optimized Nd3Co11B4 structure (PBE-GGA, Alexandria via LeMat-Bulk).

Its space group is P6/mmm, No. 191. As for the calculated density: 8.418 g/cm3. For the formation energy, the calculation gives -279 meV per atom.

Cell: 5.126 5.126 9.744 Å, 90.00 90.00 120.00°
Fractional positions:
Nd  0.000  0.000  0.000
Nd  0.000  0.000  0.341
Nd  0.000  0.000  0.659
Co  0.000  0.500  0.204
Co  0.000  0.500  0.500
Co  0.000  0.500  0.796
Co  0.333  0.667  0.000
Co  0.500  0.000  0.204
Co  0.500  0.000  0.500
Co  0.500  0.000  0.796
Co  0.500  0.500  0.204
Co  0.500  0.500  0.500
Co  0.500  0.500  0.796
Co  0.667  0.333  0.000
B  0.333  0.667  0.350
B  0.333  0.667  0.650
B  0.667  0.333  0.350
B  0.667  0.333  0.650

(8)
# NdCo12B4

A geometry-optimized NdCo12B4 structure (PBE-GGA, Alexandria via LeMat-Bulk).

Its space group is Im-3, No. 204. As for the calculated density: 7.677 g/cm3. For the formation energy, the calculation gives 136 meV per atom.

Cell: 6.311 6.311 6.311 Å, 109.47 109.47 109.47°
Fractional positions:
Nd  0.000  0.000  0.000
Co  0.161  0.345  0.815
Co  0.185  0.530  0.345
Co  0.185  0.839  0.655
Co  0.345  0.185  0.530
Co  0.345  0.815  0.161
Co  0.470  0.655  0.815
Co  0.530  0.345  0.185
Co  0.655  0.185  0.839
Co  0.655  0.815  0.470
Co  0.815  0.161  0.345
Co  0.815  0.470  0.655
Co  0.839  0.655  0.185
B  0.000  0.000  0.500
B  0.000  0.500  0.000
B  0.500  0.000  0.000
B  0.500  0.500  0.500

(9)
# Nd5Co19B6

A geometry-optimized Nd5Co19B6 structure (PBE-GGA, Alexandria via LeMat-Bulk).

Its space group is P6/mmm, No. 191. As for the calculated density: 8.445 g/cm3. For the formation energy, the calculation gives -251 meV per atom.

Cell: 5.111 5.111 16.566 Å, 90.00 90.00 120.00°
Fractional positions:
Nd  0.000  0.000  0.000
Nd  0.000  0.000  0.205
Nd  0.000  0.000  0.406
Nd  0.000  0.000  0.594
Nd  0.000  0.000  0.795
Co  0.000  0.500  0.087
Co  0.000  0.500  0.326
Co  0.000  0.500  0.500
Co  0.000  0.500  0.674
Co  0.000  0.500  0.913
Co  0.333  0.667  0.206
Co  0.333  0.667  0.794
Co  0.500  0.000  0.087
Co  0.500  0.000  0.326
Co  0.500  0.000  0.500
Co  0.500  0.000  0.674
Co  0.500  0.000  0.913
Co  0.500  0.500  0.087
Co  0.500  0.500  0.326
Co  0.500  0.500  0.500
Co  0.500  0.500  0.674
Co  0.500  0.500  0.913
Co  0.667  0.333  0.206
Co  0.667  0.333  0.794
B  0.333  0.667  0.000
B  0.333  0.667  0.412
B  0.333  0.667  0.588
B  0.667  0.333  0.000
B  0.667  0.333  0.412
B  0.667  0.333  0.588

(10)
# Nd2CoB10

A geometry-optimized Nd2CoB10 structure (PBE-GGA, Alexandria via LeMat-Bulk).

Its space group is Pbam, No. 55. As for the calculated density: 5.713 g/cm3. For the formation energy, the calculation gives -538 meV per atom.

Cell: 5.630 11.218 4.193 Å, 90.00 90.00 90.00°
Fractional positions:
Nd  0.199  0.134  0.000
Nd  0.301  0.634  0.000
Nd  0.699  0.366  0.000
Nd  0.801  0.866  0.000
Co  0.000  0.500  0.500
Co  0.500  0.000  0.500
B  0.033  0.313  0.500
B  0.128  0.959  0.500
B  0.157  0.803  0.500
B  0.200  0.387  0.201
B  0.200  0.387  0.799
B  0.300  0.887  0.201
B  0.300  0.887  0.799
B  0.343  0.303  0.500
B  0.372  0.459  0.500
B  0.467  0.813  0.500
B  0.533  0.187  0.500
B  0.628  0.541  0.500
B  0.657  0.697  0.500
B  0.700  0.113  0.201
B  0.700  0.113  0.799
B  0.800  0.613  0.201
B  0.800  0.613  0.799
B  0.843  0.197  0.500
B  0.872  0.041  0.500
B  0.967  0.687  0.500

(11)
# Nd3CoB7

A geometry-optimized Nd3CoB7 structure (PBE-GGA, Alexandria via LeMat-Bulk).

Its space group is Cmcm, No. 63. As for the calculated density: 6.786 g/cm3. For the formation energy, the calculation gives -355 meV per atom.

Cell: 8.235 8.235 9.935 Å, 90.00 90.00 155.66°
Fractional positions:
Nd  0.100  0.900  0.555
Nd  0.100  0.900  0.945
Nd  0.253  0.747  0.250
Nd  0.747  0.253  0.750
Nd  0.900  0.100  0.055
Nd  0.900  0.100  0.445
Co  0.062  0.938  0.250
Co  0.938  0.062  0.750
B  0.271  0.729  0.532
B  0.271  0.729  0.968
B  0.362  0.638  0.656
B  0.362  0.638  0.844
B  0.463  0.537  0.250
B  0.468  0.532  0.624
B  0.468  0.532  0.876
B  0.532  0.468  0.124
B  0.532  0.468  0.376
B  0.537  0.463  0.750
B  0.638  0.362  0.156
B  0.638  0.362  0.344
B  0.729  0.271  0.032
B  0.729  0.271  0.468

(12)
# NdCoB2

A geometry-optimized NdCoB2 structure (PBE-GGA, Alexandria via LeMat-Bulk).

The energy relative to the lowest polymorph listed for this composition is 158 meV per atom. Its space group is R-3m, No. 166. As for the calculated density: 7.205 g/cm3. For the formation energy, the calculation gives -258 meV per atom.

Cell: 5.380 5.380 5.380 Å, 37.52 37.52 37.52°
Fractional positions:
Nd  0.000  0.000  0.000
Co  0.500  0.500  0.500
B  0.186  0.186  0.186
B  0.814  0.814  0.814

(13)
# NdCoB2

A geometry-optimized NdCoB2 structure (PBE-GGA, Alexandria via LeMat-Bulk).

The energy relative to the lowest polymorph listed for this composition is 0 meV per atom. Its space group is P2_1/m, No. 11. As for the calculated density: 6.971 g/cm3. For the formation energy, the calculation gives -416 meV per atom.

Cell: 3.162 5.348 6.334 Å, 90.00 90.58 90.00°
Fractional positions:
Nd  0.244  0.250  0.165
Nd  0.756  0.750  0.835
Co  0.254  0.250  0.662
Co  0.746  0.750  0.338
B  0.250  0.589  0.509
B  0.250  0.911  0.509
B  0.750  0.089  0.491
B  0.750  0.411  0.491

(14)
# NdCoB4

A geometry-optimized NdCoB4 structure (PBE-GGA, Alexandria via LeMat-Bulk).

Its space group is Cmmm, No. 65. As for the calculated density: 6.708 g/cm3. For the formation energy, the calculation gives -443 meV per atom.

Cell: 6.008 6.008 3.485 Å, 90.00 90.00 104.09°
Fractional positions:
Nd  0.199  0.801  0.000
Nd  0.801  0.199  0.000
Co  0.323  0.323  0.000
Co  0.677  0.677  0.000
B  0.127  0.432  0.500
B  0.134  0.134  0.500
B  0.412  0.588  0.500
B  0.432  0.127  0.500
B  0.568  0.873  0.500
B  0.588  0.412  0.500
B  0.866  0.866  0.500
B  0.873  0.568  0.500

(15)
# Nd2Co3B4

A geometry-optimized Nd2Co3B4 structure (PBE-GGA, Alexandria via LeMat-Bulk).

Its space group is Fmmm, No. 69. As for the calculated density: 6.624 g/cm3. For the formation energy, the calculation gives 3 meV per atom.

Cell: 7.411 6.601 4.872 Å, 78.90 60.93 40.18°
Fractional positions:
Nd  0.152  0.152  0.848
Nd  0.848  0.848  0.152
Co  0.000  0.000  0.500
Co  0.500  0.500  0.000
Co  0.500  0.500  0.500
B  0.219  0.552  0.448
B  0.448  0.781  0.219
B  0.552  0.219  0.781
B  0.781  0.448  0.552

(16)
# NdCo6B4

A geometry-optimized NdCo6B4 structure (PBE-GGA, Alexandria via LeMat-Bulk).

Its space group is P-6m2, No. 187. As for the calculated density: 8.181 g/cm3. For the formation energy, the calculation gives -209 meV per atom.

Cell: 6.185 6.185 3.315 Å, 90.00 90.00 120.00°
Fractional positions:
Nd  0.000  0.000  0.000
Co  0.206  0.412  0.500
Co  0.206  0.794  0.500
Co  0.534  0.069  0.000
Co  0.534  0.466  0.000
Co  0.588  0.794  0.500
Co  0.931  0.466  0.000
B  0.333  0.667  0.000
B  0.442  0.221  0.500
B  0.779  0.221  0.500
B  0.779  0.558  0.500

(17)
# NdCoB

A geometry-optimized NdCoB structure (PBE-GGA, Alexandria via LeMat-Bulk).

The energy relative to the lowest polymorph listed for this composition is 229 meV per atom. Its space group is P-6m2, No. 187. As for the calculated density: 7.527 g/cm3. For the formation energy, the calculation gives -176 meV per atom.

Cell: 3.598 3.598 4.210 Å, 90.00 90.00 120.00°
Fractional positions:
Nd  0.000  0.000  0.000
Co  0.667  0.333  0.500
B  0.333  0.667  0.500

(18)
# NdCo2B2

A geometry-optimized NdCo2B2 structure (PBE-GGA, Alexandria via LeMat-Bulk).

Its space group is I4/mmm, No. 139. As for the calculated density: 7.378 g/cm3. For the formation energy, the calculation gives -489 meV per atom.

Cell: 5.589 5.589 5.589 Å, 142.64 142.64 53.86°
Fractional positions:
Nd  0.000  0.000  0.000
Co  0.250  0.750  0.500
Co  0.750  0.250  0.500
B  0.338  0.338  0.000
B  0.662  0.662  0.000

(19)
# NdCo6B3

A geometry-optimized NdCo6B3 structure (PBE-GGA, Alexandria via LeMat-Bulk).

Its space group is P1, No. 1. As for the calculated density: 8.008 g/cm3. For the formation energy, the calculation gives -190 meV per atom.

Cell: 5.057 5.151 5.456 Å, 86.89 64.55 60.90°
Fractional positions:
Nd  0.000  0.000  0.000
Co  0.090  0.475  0.801
Co  0.285  0.602  0.331
Co  0.288  0.115  0.390
Co  0.628  0.459  0.793
Co  0.661  0.959  0.687
Co  0.793  0.573  0.332
B  0.299  0.334  0.063
B  0.553  0.331  0.505
B  0.589  0.751  0.068